TiMnIO6 (PBE+U, relaxed); total energy = -119.19 eV per cell; D(E_F) = 0.29 states/eV/atom; size of the total moment = 4.08 μB per formula unit
1.0
5.229 0.000 0.000
-2.615 4.529 0.000
0.000 0.000 9.374
Ti O I Mn
2 12 2 2
direct
0.333 0.667 0.750 Ti
0.667 0.333 0.250 Ti
0.642 0.645 0.635 O
0.355 0.358 0.865 O
0.003 0.358 0.635 O
0.645 0.003 0.365 O
0.355 0.997 0.635 O
0.642 0.997 0.865 O
0.645 0.642 0.135 O
0.358 0.355 0.365 O
0.358 0.003 0.135 O
0.997 0.642 0.365 O
0.003 0.645 0.865 O
0.997 0.355 0.135 O
0.333 0.667 0.250 I
0.667 0.333 0.750 I
0.000 0.000 0.500 Mn
0.000 0.000 0.000 Mn